Entry 1:
First-principles (PBE) data for an optimized crystal structure of YI2BrO, as listed in Alexandria.

The density of states at the Fermi level is 1.05 states/eV/atom. For the energy relative to the lowest polymorph listed for this composition, the calculation gives 0 meV/atom. The uncorrected formation energy is -1.000 eV/atom. The calculation puts the total energy at -4.24 eV/atom.

```
YI2BrO
1.0
6.3115 0.0000 0.0000
0.0000 6.3115 0.0000
0.0000 0.0000 4.1552
Br O I Y
1 1 2 1
direct
0.5000 0.5000 0.5000 Br
0.0000 0.0000 0.5000 O
0.5000 0.0000 0.0000 I
0.0000 0.5000 0.0000 I
0.0000 0.0000 0.0000 Y
```


Entry 2:
First-principles (PBE) data for an optimized crystal structure of YIBrO4, as listed in Alexandria.

The uncorrected formation energy is -1.295 eV/atom. The calculation puts the total energy at -5.51 eV/atom.

```
YIBrO4
1.0
-1.9671 0.5981 6.2102
-4.6618 -4.1356 1.9896
4.7248 -4.1882 1.6808
O Y Br I
8 2 2 2
direct
0.4875 0.8700 0.8486 O
0.5125 0.1300 0.1514 O
0.8700 0.4875 0.8486 O
0.5466 0.5466 0.2431 O
0.1300 0.5125 0.1514 O
0.2248 0.2248 0.4930 O
0.4534 0.4534 0.7569 O
0.7752 0.7752 0.5070 O
0.2692 0.2692 0.8370 Y
0.7308 0.7308 0.1630 Y
0.9445 0.9445 0.8375 Br
0.0555 0.0555 0.1625 Br
0.6255 0.6255 0.6618 I
0.3745 0.3745 0.3382 I
```


Entry 3:
First-principles (PBE) data for an optimized crystal structure of Y3IBr2O6, as listed in Alexandria.

The density of states at the Fermi level is 0.00 states/eV/atom. The uncorrected formation energy is -1.911 eV/atom. The calculation puts the total energy at -6.41 eV/atom.

```
Y3IBr2O6
1.0
5.6897 0.0000 0.8521
0.0000 6.7508 0.0000
0.3687 -3.3754 5.9225
Y Br O I
3 2 6 1
direct
0.5000 0.5000 0.5000 Y
0.5000 0.0000 0.5000 Y
0.0000 0.5000 0.0000 Y
0.8628 0.2872 0.5743 Br
0.1372 0.7128 0.4257 Br
0.7047 0.8104 0.1230 O
0.2953 0.6874 0.8770 O
0.7047 0.3126 0.1230 O
0.3430 0.1736 0.3473 O
0.2953 0.1896 0.8770 O
0.6570 0.8264 0.6527 O
0.5000 0.0000 0.0000 I
```


Entry 4:
First-principles (PBE) data for an optimized crystal structure of Y2IBrO, as listed in Alexandria.

The density of states at the Fermi level is 1.69 states/eV/atom. The uncorrected formation energy is 0.381 eV/atom. The calculation puts the total energy at -3.84 eV/atom.

```
Y2IBrO
1.0
5.3698 0.0000 0.0000
0.0000 5.9957 0.0000
0.0000 0.0000 5.3698
I Br O Y
1 1 1 2
direct
0.0000 0.5000 0.0000 I
0.0000 0.0000 0.0000 Br
0.5000 0.5000 0.5000 O
0.5000 0.0000 0.0000 Y
0.0000 0.0000 0.5000 Y
```


Entry 5:
First-principles (PBE) data for an optimized crystal structure of YI2BrO, as listed in Alexandria.

The density of states at the Fermi level is 0.77 states/eV/atom. For the energy relative to the lowest polymorph listed for this composition, the calculation gives 1060 meV/atom. The uncorrected formation energy is 0.060 eV/atom. The calculation puts the total energy at -3.18 eV/atom.

```
YI2BrO
1.0
6.2718 0.0000 0.0000
0.0000 6.2718 0.0000
0.0000 0.0000 3.8211
I Y O Br
2 1 1 1
direct
0.0000 0.5000 0.0000 I
0.5000 0.0000 0.0000 I
0.5000 0.5000 0.5000 Y
0.0000 0.0000 0.5000 O
0.0000 0.0000 0.0000 Br
```


Entry 6:
First-principles (PBE) data for an optimized crystal structure of ZnI2BrO, as listed in Alexandria.

The density of states at the Fermi level is 0.56 states/eV/atom. For the energy relative to the lowest polymorph listed for this composition, the calculation gives 536 meV/atom. The uncorrected formation energy is 0.536 eV/atom. The calculation puts the total energy at -1.66 eV/atom.

```
ZnI2BrO
1.0
5.9131 0.0000 0.0000
0.0000 5.9131 0.0000
0.0000 0.0000 4.0162
I O Zn Br
2 1 1 1
direct
0.5000 0.0000 0.0000 I
0.0000 0.5000 0.0000 I
0.0000 0.0000 0.5000 O
0.5000 0.5000 0.5000 Zn
0.0000 0.0000 0.0000 Br
```


Entry 7:
First-principles (PBE) data for an optimized crystal structure of ZnI2BrO, as listed in Alexandria.

The density of states at the Fermi level is 2.04 states/eV/atom. For the energy relative to the lowest polymorph listed for this composition, the calculation gives 0 meV/atom. The uncorrected formation energy is 0.000 eV/atom. The calculation puts the total energy at -2.20 eV/atom.

```
ZnI2BrO
1.0
-2.6037 6.0673 1.8952
1.6758 -1.3204 6.5292
3.0391 1.4559 -0.4856
I O Zn Br
2 1 1 1
direct
0.5000 0.0000 0.0000 I
0.0000 0.5000 0.0000 I
0.0000 0.0000 0.5000 O
0.0000 0.0000 0.0000 Zn
0.5000 0.5000 0.5000 Br
```


Entry 8:
First-principles (PBE) data for an optimized crystal structure of Os2IBr, as listed in Alexandria.

The density of states at the Fermi level is 1.18 states/eV/atom. For the energy relative to the lowest polymorph listed for this composition, the calculation gives 0 meV/atom. The uncorrected formation energy is 1.453 eV/atom. The calculation puts the total energy at -4.97 eV/atom.

```
Os2IBr
1.0
4.6823 0.0000 0.0000
0.0000 4.6823 0.0000
2.3412 2.3412 8.1044
Br Os I
2 4 2
direct
0.5000 0.5000 0.0000 Br
0.2500 0.7500 0.5000 Br
0.5120 0.1250 0.2500 Os
0.3750 0.4880 0.7500 Os
0.8750 0.7620 0.7500 Os
0.2380 0.6250 0.2500 Os
0.7500 0.2500 0.5000 I
0.0000 0.0000 0.0000 I
```